# 1
Entry from the Alexandria database: a geometry-optimized ZrAg2S4 structure (PBE).

## Properties
The value obtained for the total energy is -4.632 eV per atom. The uncorrected formation energy is -1.660 eV per formula unit. As for the crystal system: tetragonal. The offset from the most stable computed form is 0.332 eV per atom.

Geometry as POSCAR:
```
ZrAg2S4
1.0
5.0978 0.0000 0.0000
0.0000 5.0978 0.0000
2.5489 2.5489 6.3076
Ag S Zr
2 4 1
Cartesian
5.0978 5.0978 4.9057
2.5489 2.5489 1.4020
2.5489 2.5489 3.8190
5.0978 5.0978 2.4887
2.5489 0.0000 0.0000
0.0000 2.5489 0.0000
0.0000 0.0000 0.0000
```


# 2
Entry from the Alexandria database: a geometry-optimized ZrAgS structure (PBE).

## Properties
The value obtained for the total energy is -5.727 eV per atom. The uncorrected formation energy is -1.655 eV per formula unit. As for the crystal system: trigonal.

Geometry as POSCAR:
```
ZrAgS
1.0
3.4545 0.0000 0.0000
-1.7272 2.9917 0.0000
0.0000 0.0000 24.9319
Ag Zr S
4 4 4
Cartesian
0.0000 1.9944 19.4705
0.0000 1.9944 23.8775
1.7272 0.9972 5.4613
1.7272 0.9972 1.0543
1.7272 0.9972 21.6803
0.0000 1.9944 15.7047
0.0000 1.9944 3.2516
1.7272 0.9972 9.2271
0.0000 1.9944 10.7954
1.7272 0.9972 17.3860
1.7272 0.9972 14.1364
0.0000 1.9944 7.5459
```


# 3
Entry from the Alexandria database: a geometry-optimized ZrAgS2 structure (PBE).

## Properties
The value obtained for the total energy is -5.853 eV per atom. The uncorrected formation energy is -3.757 eV per formula unit. As for the crystal system: trigonal.

Geometry as POSCAR:
```
ZrAgS2
1.0
-1.3703 -1.5466 -2.9884
0.9411 -3.3964 -0.8823
-5.4342 -4.0696 2.3895
S Zr Ag
2 1 1
Cartesian
-4.2473 -3.5263 1.5640
-1.3619 -2.2056 -0.4426
-0.3161 -3.3090 -2.5597
-2.8699 -4.4780 -0.7836
```


# 4
Entry from the Alexandria database: a geometry-optimized ZrAgS2 structure (PBE).

## Properties
The value obtained for the total energy is -5.637 eV per atom. The uncorrected formation energy is -2.894 eV per formula unit. As for the crystal system: tetragonal.

Geometry as POSCAR:
```
ZrAgS2
1.0
-5.8500 -0.5329 -1.0974
1.2185 -2.2915 -5.3828
-2.2609 -6.5005 -1.0616
Ag S Zr
2 4 2
Cartesian
-5.2133 -4.2228 -2.6996
0.0000 0.0000 0.0000
-3.4184 -5.9610 -3.2886
-0.6026 -3.1301 -3.7796
-4.0014 -2.2384 -1.6115
-5.7623 -7.3201 -6.4042
-1.6791 -5.1021 -4.8423
-2.3157 -1.4122 -3.2401
```


# 5
Entry from the Alexandria database: a geometry-optimized ZrAg3S4 structure (PBE).

## Properties
The value obtained for the total energy is -4.694 eV per atom. The uncorrected formation energy is -3.944 eV per formula unit. As for the crystal system: orthorhombic.

Geometry as POSCAR:
```
ZrAg3S4
1.0
-1.9692 3.1354 -0.9166
-5.1986 -2.3174 3.2414
3.3263 3.4046 4.4997
Ag Zr S
3 1 4
Cartesian
-2.5993 -1.1587 1.6207
1.6632 1.7023 2.2498
-1.9207 2.1113 3.4122
-0.9846 1.5677 -0.4583
-1.4538 0.8442 6.0110
0.2205 3.5485 3.7283
-4.0620 0.6740 3.0962
-0.4184 0.2430 1.7301
```


# 6
Entry from the Alexandria database: a geometry-optimized ZrAg4S4 structure (PBE).

## Properties
The value obtained for the total energy is -4.564 eV per atom. The uncorrected formation energy is -4.613 eV per formula unit. As for the crystal system: tetragonal.

Geometry as POSCAR:
```
ZrAg4S4
1.0
6.1283 0.0000 0.0000
0.0000 6.1283 0.0000
-3.0641 -3.0641 5.6945
S Zr Ag
4 1 4
Cartesian
-1.6465 -1.6465 4.2779
1.4176 4.7107 1.4165
4.7107 1.4176 1.4165
1.6465 1.6465 4.2779
0.0000 0.0000 0.0000
3.0641 3.0641 2.5773
3.0641 0.0000 0.0000
0.0000 3.0641 0.0000
0.0000 0.0000 3.1171
```


# 7
Entry from the Alexandria database: a geometry-optimized ZrAg5S5 structure (PBE).

## Properties
The value obtained for the total energy is -4.273 eV per atom. The uncorrected formation energy is -3.561 eV per formula unit. As for the crystal system: monoclinic.

Geometry as POSCAR:
```
ZrAg5S5
1.0
5.1147 0.0000 0.0000
-2.5573 6.1544 0.1347
0.0000 -2.1845 7.0599
Ag Zr S
5 1 5
Cartesian
0.0000 3.7307 1.3515
2.5573 0.8404 2.7292
0.0000 3.1296 4.4654
0.0000 -1.0922 3.5300
2.5573 0.2393 5.8431
0.0000 0.0000 0.0000
2.5573 0.0000 0.0000
2.5573 2.6905 4.8896
0.0000 0.0661 5.7869
2.5573 3.9038 1.4077
0.0000 1.2795 2.3050
```


# 8
Entry from the Alexandria database: a geometry-optimized Zr4AgS8 structure (PBE).

## Properties
The value obtained for the total energy is -6.743 eV per atom. The uncorrected formation energy is -17.595 eV per formula unit. As for the crystal system: trigonal. The offset from the most stable computed form is 0.029 eV per atom.

Geometry as POSCAR:
```
Zr4AgS8
1.0
-3.4465 -1.3993 6.3124
-6.1057 -4.0500 0.0207
0.4736 -7.3267 2.8866
Zr S Ag
4 8 1
Cartesian
0.0000 0.0000 0.0000
-4.7761 -2.7246 3.1665
-1.7233 -0.6996 3.1562
-3.0529 -2.0250 0.0104
-4.0778 -3.7574 5.4450
-6.7067 -9.7360 6.9365
-7.1384 -5.7875 5.4553
-2.3719 -3.0399 2.2832
-5.4108 -5.0861 2.2912
-1.9403 -6.9885 3.7644
-3.6679 -7.6899 6.9285
-5.0008 -9.0186 3.7748
-4.5393 -6.3880 4.6099
```


# 9
Entry from the Alexandria database: a geometry-optimized Zr2AgS structure (PBE).

## Properties
The value obtained for the total energy is -6.674 eV per atom. The uncorrected formation energy is -2.620 eV per formula unit. As for the crystal system: trigonal.

Geometry as POSCAR:
```
Zr2AgS
1.0
3.6316 0.0000 0.0000
1.8158 3.1450 0.0000
1.8158 1.0483 7.0844
S Zr Ag
1 2 1
Cartesian
5.4474 3.1450 7.0709
1.8158 1.0484 5.6783
1.8158 1.0483 1.4041
3.6316 2.0967 3.5577
```


# 10
Entry from the Alexandria database: a geometry-optimized Zr2AgS4 structure (PBE).

## Properties
The value obtained for the total energy is -6.370 eV per atom. The uncorrected formation energy is -8.132 eV per formula unit. As for the crystal system: orthorhombic. The offset from the most stable computed form is 0.092 eV per atom.

Geometry as POSCAR:
```
Zr2AgS4
1.0
-1.2212 3.2361 -1.1949
0.5813 -3.7140 -5.0490
-12.2826 -4.0556 1.5690
S Zr Ag
8 4 2
Cartesian
-9.8489 -3.3152 -4.5166
-5.3612 -1.1067 -3.1219
-7.5612 -3.4267 -1.5530
-6.7519 -0.4097 0.1871
-3.0735 -1.2182 -0.1583
-0.6106 1.6181 -0.5974
-2.0337 -0.0080 -3.5470
-10.8887 -4.5254 -1.1279
-5.2926 -2.2946 -0.8055
-0.8640 -0.8323 -1.3712
-7.6297 -2.2388 -3.8694
-12.0584 -3.7011 -3.3037
-3.0933 -2.6362 -3.9784
-9.8291 -1.8972 -0.6965
```


# 11
Entry from the Alexandria database: a geometry-optimized ZrAgS2 structure (PBE).

## Properties
The value obtained for the total energy is -5.508 eV per atom. The uncorrected formation energy is -2.378 eV per formula unit. As for the crystal system: cubic.

Geometry as POSCAR:
```
ZrAgS2
1.0
0.0000 3.2725 3.2725
3.2725 0.0000 3.2725
3.2725 3.2725 0.0000
Zr S Ag
1 2 1
Cartesian
0.0000 0.0000 0.0000
4.9087 4.9087 4.9087
1.6362 1.6362 1.6362
3.2725 3.2725 3.2725
```


# 12
Entry from the Alexandria database: a geometry-optimized ZrAgS2 structure (PBE).

## Properties
The value obtained for the total energy is -5.913 eV per atom. The uncorrected formation energy is -3.999 eV per formula unit. As for the crystal system: trigonal.

Geometry as POSCAR:
```
ZrAgS2
1.0
2.0764 0.0000 7.9485
-1.0382 1.7982 7.9485
-1.0382 -1.7982 7.9485
S Zr Ag
2 1 1
Cartesian
0.0000 0.0000 21.4238
0.0000 0.0000 2.4216
0.0000 0.0000 11.9227
0.0000 0.0000 0.0000
```


# 13
Entry from the Alexandria database: a geometry-optimized ZrAgS3 structure (PBE).

## Properties
The value obtained for the total energy is -5.308 eV per atom. The uncorrected formation energy is -2.758 eV per formula unit. As for the crystal system: trigonal.

Geometry as POSCAR:
```
ZrAgS3
1.0
-0.3353 -1.0737 4.9660
0.9122 -4.9456 -0.7975
5.0102 0.6034 0.6790
Ag S Zr
1 3 1
Cartesian
5.2007 -5.0414 4.5122
2.8688 -0.7659 3.2772
3.4878 -2.6869 0.4180
0.8357 -3.5189 2.5447
3.2901 -3.1895 2.8549
```


# 14
Entry from the Alexandria database: a geometry-optimized Zr2AgS4 structure (PBE).

## Properties
The value obtained for the total energy is -6.462 eV per atom. The uncorrected formation energy is -8.775 eV per formula unit. As for the crystal system: trigonal. The offset from the most stable computed form is 0.000 eV per atom.

Geometry as POSCAR:
```
Zr2AgS4
1.0
7.6198 0.0000 0.0000
-3.8099 6.2282 -2.1629
0.0000 -0.0666 13.1975
Ag S Zr
4 16 8
Cartesian
1.9053 3.8825 1.1244
5.7152 2.3124 3.3114
-1.9053 3.8492 7.7231
1.9046 2.2791 9.9102
-1.9053 4.6673 10.0773
3.9416 1.4452 11.0818
0.1317 4.6832 6.5515
3.9417 4.7164 -0.0472
-0.1317 4.7164 -0.0472
5.7152 1.4943 0.9572
-1.9047 4.8060 3.3292
1.9046 1.4610 7.5559
1.9047 4.7727 9.9279
-0.1318 1.4452 11.0818
1.9052 1.3889 1.1066
0.1318 1.4785 4.4830
3.6782 1.4785 4.4830
1.9053 4.7006 3.4786
3.6781 4.6832 6.5515
5.7146 1.3556 7.7053
1.9050 3.0808 5.5173
3.8099 -0.0333 6.5987
1.9050 -0.0166 3.2994
3.8099 0.0000 0.0000
5.7149 -0.0499 9.8981
0.0000 -0.0333 6.5987
0.0000 0.0000 0.0000
-1.9050 3.1141 -1.0815
```


# 15
Entry from the Alexandria database: a geometry-optimized ZrAgS2 structure (PBE).

## Properties
The value obtained for the total energy is -4.948 eV per atom. The uncorrected formation energy is -0.139 eV per formula unit. As for the crystal system: trigonal.

Geometry as POSCAR:
```
ZrAgS2
1.0
3.6193 -3.5145 6.4147
6.0680 -0.9754 5.3691
3.2228 -0.0208 7.4975
Ag S Zr
1 2 1
Cartesian
6.4550 -2.2553 9.6406
11.5979 -4.0522 17.3216
1.3122 -0.4585 1.9597
0.0000 0.0000 0.0000
```


# 16
Entry from the Alexandria database: a geometry-optimized ZrAgS3 structure (PBE).

## Properties
The value obtained for the total energy is -4.432 eV per atom. The uncorrected formation energy is 1.621 eV per formula unit. As for the crystal system: cubic.

Geometry as POSCAR:
```
ZrAgS3
1.0
4.7214 0.0000 0.0000
0.0000 4.7214 0.0000
0.0000 0.0000 4.7214
Ag S Zr
1 3 1
Cartesian
0.0000 0.0000 0.0000
2.3607 0.0000 0.0000
0.0000 0.0000 2.3607
0.0000 2.3607 0.0000
2.3607 2.3607 2.3607
```


# 17
Entry from the Alexandria database: a geometry-optimized Ag17Sb2 structure (PBE).

## Properties
The value obtained for the total energy is -2.840 eV per atom. The uncorrected formation energy is 2.753 eV per formula unit. As for the crystal system: trigonal.

Geometry as POSCAR:
```
Ag17Sb2
1.0
7.3035 0.0024 0.0021
1.0378 7.2294 0.0021
1.0378 0.8998 7.1732
Ag Sb
17 2
Cartesian
0.5189 3.6147 0.0010
2.4851 5.2808 4.6611
3.6518 0.0012 0.0010
1.0378 2.8231 4.9942
3.7994 6.4202 2.5162
0.9396 0.8146 0.7190
1.0378 5.3061 2.1811
5.5798 4.8376 1.1193
0.5189 0.4499 3.5866
8.4396 7.3169 6.4583
3.7994 3.2940 6.0581
5.3997 0.2750 2.1811
2.9417 5.0335 0.0021
5.5798 1.7113 4.6611
5.3997 2.1983 0.0021
6.8940 2.8507 2.5162
2.9417 0.6271 4.9942
6.0311 5.2288 4.6153
3.3481 2.9027 2.5621
```


# 18
Entry from the Alexandria database: a geometry-optimized Ag5Sb4 structure (PBE).

## Properties
The value obtained for the total energy is -3.235 eV per atom. The uncorrected formation energy is 1.632 eV per formula unit. As for the crystal system: hexagonal. The offset from the most stable computed form is 0.087 eV per atom.

Geometry as POSCAR:
```
Ag5Sb4
1.0
8.9777 0.0000 0.0000
-4.4888 7.7749 0.0000
0.0000 0.0000 5.8756
Sb Ag
8 10
Cartesian
2.7202 4.7115 1.4689
-2.7202 4.7115 4.4067
3.5373 0.0000 1.4689
0.0000 0.0000 0.0000
1.7687 3.0634 4.4067
0.0000 0.0000 2.9378
-1.7687 3.0634 1.4689
5.4404 0.0000 4.4067
4.4888 2.5916 0.0000
1.3196 2.2856 1.4689
6.3385 0.0000 1.4689
-3.1692 5.4893 1.4689
2.6392 0.0000 4.4067
3.1692 5.4893 4.4067
-1.3196 2.2856 4.4067
4.4888 2.5916 2.9378
0.0000 5.1833 0.0000
0.0000 5.1833 2.9378
```


# 19
Entry from the Alexandria database: a geometry-optimized Ag3Sb structure (PBE).

## Properties
The value obtained for the total energy is -3.087 eV per atom. The uncorrected formation energy is 0.328 eV per formula unit. As for the crystal system: orthorhombic.

Geometry as POSCAR:
```
Ag3Sb
1.0
5.4185 0.0000 0.0000
0.0000 8.0802 0.0000
0.0000 0.0000 7.8473
Ag Sb
12 4
Cartesian
4.7356 6.0332 4.3978
5.4142 0.3914 5.8855
3.3921 1.9931 4.3978
2.7050 3.6487 1.9618
4.7356 6.0332 7.3731
2.0264 6.0870 3.4495
3.3921 1.9931 7.3731
0.6829 2.0469 0.4742
0.6829 2.0469 3.4495
0.0042 7.6888 1.9618
2.0264 6.0870 0.4742
2.7135 4.4314 5.8855
5.3454 4.7070 1.9618
2.7823 0.6669 1.9618
2.6362 7.4133 5.8855
0.0731 3.3732 5.8855
```


# 20
Entry from the Alexandria database: a geometry-optimized AgSb3 structure (PBE).

## Properties
The value obtained for the total energy is -2.965 eV per atom. The uncorrected formation energy is 3.357 eV per formula unit. As for the crystal system: cubic. The offset from the most stable computed form is 0.745 eV per atom.

Geometry as POSCAR:
```
AgSb3
1.0
5.4455 0.0000 0.0000
0.0000 5.4455 0.0000
0.0000 0.0000 5.4455
Sb Ag
3 1
Cartesian
2.7228 0.0000 0.0000
0.0000 0.0000 2.7228
0.0000 2.7228 0.0000
0.0000 0.0000 0.0000
```